Record 1
Compound: HfTcN
Source: Alexandria via LeMat-Bulk
Functional: PBE
Structure: relaxed

## Properties
As for the space-group type: P4/nmm. For the magnetic moment, the calculation gives 0.000 μB/cell. The formation energy (no corrections) is -0.5727 eV per atom. For the total energy, the calculation gives -10.121 eV/atom.

abc: 3.3100 3.3100 7.8093
angles: 90.00 90.00 90.00
Closest atoms and distances in Å follow each position.
Element x y z (fractional)
N 0.8366 0.3366 0.8819  5 Hf 2.14-2.36
N 0.3366 0.8366 0.1181  5 Hf 2.14-2.36
Hf 0.8365 0.3365 0.1557  5 N 2.14-2.36
Hf 0.3365 0.8365 0.8443  5 N 2.14-2.36
Tc 0.8362 0.8362 0.5000  4 Tc 2.34
Tc 0.3362 0.3362 0.5000  4 Tc 2.34



Record 2
Compound: HfCr3As
Source: Alexandria via LeMat-Bulk
Functional: PBE
Structure: relaxed

## Properties
As for the space-group type: Pm-3m. The calculation puts the energy of formation from the pure elements at 656 meV per atom. For the magnetic moment, the calculation gives 5.303 μB/cell. For the total energy, the calculation gives -8.038 eV/atom.

abc: 4.4334 4.4334 4.4334
angles: 90.00 90.00 90.00
Closest atoms and distances in Å follow each position.
Element x y z (fractional)
Cr 0.0000 0.5000 0.0000  2 As 2.22
Cr 0.0000 0.0000 0.5000  2 As 2.22
Cr 0.5000 0.0000 0.0000  2 As 2.22
As 0.0000 0.0000 0.0000  6 Cr 2.22
Hf 0.5000 0.5000 0.5000  12 Cr 3.13



Record 3
Compound: SmAsS3
Source: Alexandria via LeMat-Bulk
Functional: PBE
Structure: relaxed

## Properties
As for the space-group type: R-3. For the magnetic moment, the calculation gives 0.000 μB/cell. The formation energy (no corrections) is -0.9542 eV per atom. For the total energy, the calculation gives -5.304 eV/atom.

abc: 6.7632 6.7634 7.6171
angles: 63.65 63.65 60.00
Closest atoms and distances in Å follow each position.
Element x y z (fractional)
Sm 0.3493 0.3493 0.9521  6 S 2.76-2.86
Sm 0.6507 0.6507 0.0479  6 S 2.76-2.86
As 0.8758 0.8757 0.3728  3 S 2.33
As 0.1242 0.1243 0.6272  3 S 2.33
S 0.7763 0.4133 0.7614  1 As 2.33
S 0.0490 0.7764 0.7614  1 As 2.33
S 0.4133 0.0490 0.7613  1 As 2.33
S 0.2237 0.5867 0.2386  1 As 2.33
S 0.9510 0.2236 0.2386  1 As 2.33
S 0.5867 0.9510 0.2387  1 As 2.33



Record 4
Compound: Fe2NiCl
Source: Alexandria via LeMat-Bulk
Functional: PBE
Structure: relaxed

## Properties
As for the space-group type: C2/m. For the magnetic moment, the calculation gives 6.488 μB/cell. The formation energy (no corrections) is 0.4999 eV per atom. For the total energy, the calculation gives -5.638 eV/atom.

abc: 5.4483 4.6030 2.7317
angles: 85.56 68.24 118.81
Closest atoms and distances in Å follow each position.
Element x y z (fractional)
Ni 0.0000 0.5000 0.5000  2 Cl 2.56, 8 Fe 2.58-2.77, 2 Ni 2.73
Fe 0.0000 0.0000 0.0000  4 Fe 2.56-2.73, 4 Ni 2.58-2.77, 4 Cl 2.58-2.77
Fe 0.5000 0.0000 0.5000  4 Fe 2.56-2.73, 4 Cl 2.58-2.77, 4 Ni 2.58-2.77
Cl 0.5000 0.5000 0.0000  2 Ni 2.56, 8 Fe 2.58-2.77, 2 Cl 2.73



Record 5
Compound: AcPmBe2Si2
Source: Alexandria via LeMat-Bulk
Functional: PBE
Structure: relaxed

## Properties
As for the space-group type: P-3m1. For the magnetic moment, the calculation gives 0.000 μB/cell. The formation energy (no corrections) is -0.5259 eV per atom. For the total energy, the calculation gives -5.052 eV/atom.

abc: 4.0010 4.0010 8.8412
angles: 90.00 90.00 120.00
Closest atoms and distances in Å follow each position.
Element x y z (fractional)
Ac 0.0000 0.0000 0.0000  6 Be 3.30, 6 Si 3.31
Pm 0.0000 0.0000 0.5000  6 Si 3.09, 6 Be 3.10
Be 0.6667 0.3333 0.2667  3 Si 2.31
Be 0.3333 0.6667 0.7333  3 Si 2.31
Si 0.6667 0.3333 0.7325  3 Be 2.31
Si 0.3333 0.6667 0.2675  3 Be 2.31



Record 6
Compound: Cu3SiNi
Source: Alexandria via LeMat-Bulk
Functional: PBE
Structure: relaxed

## Properties
As for the space-group type: Pm-3m. For the magnetic moment, the calculation gives 0.000 μB/cell. The formation energy (no corrections) is 0.9603 eV per atom. For the total energy, the calculation gives -3.738 eV/atom.

abc: 4.3507 4.3507 4.3507
angles: 90.00 90.00 90.00
Closest atoms and distances in Å follow each position.
Element x y z (fractional)
Ni 0.0000 0.0000 0.0000  6 Cu 2.18
Si 0.5000 0.5000 0.5000  12 Cu 3.08
Cu 0.0000 0.5000 0.0000  2 Ni 2.18
Cu 0.0000 0.0000 0.5000  2 Ni 2.18
Cu 0.5000 0.0000 0.0000  2 Ni 2.18



Record 7
Compound: AcY6Tm5
Source: Alexandria via LeMat-Bulk
Functional: PBE
Structure: relaxed

## Properties
As for the space-group type: P2/m. The calculation puts the energy of formation from the pure elements at 43 meV per atom. For the magnetic moment, the calculation gives 0.000 μB/cell. For the total energy, the calculation gives -5.394 eV/atom.

abc: 5.0333 8.0058 10.1214
angles: 90.00 90.00 71.62
Closest atoms and distances in Å follow each position.
Element x y z (fractional)
Y 0.1679 0.6639 0.2546  7 Tm 3.52-3.60, 4 Y 3.54-3.59, 1 Ac 3.63
Y 0.1679 0.6639 0.7454  7 Tm 3.52-3.60, 4 Y 3.54-3.59, 1 Ac 3.63
Y 0.5000 0.0000 0.7411  6 Tm 3.51-3.69, 4 Y 3.58-3.59, 2 Ac 3.63
Y 0.5000 0.0000 0.2589  6 Tm 3.51-3.69, 4 Y 3.58-3.59, 2 Ac 3.63
Y 0.8321 0.3361 0.2546  7 Tm 3.52-3.60, 4 Y 3.54-3.59, 1 Ac 3.63
Y 0.8321 0.3361 0.7454  7 Tm 3.52-3.60, 4 Y 3.54-3.59, 1 Ac 3.63
Ac 0.0000 0.0000 0.0000  4 Tm 3.62, 8 Y 3.63
Tm 0.3326 0.3347 0.5000  8 Y 3.52-3.54, 4 Tm 3.55-3.58
Tm 0.6714 0.6574 0.0000  2 Tm 3.47, 8 Y 3.55-3.69, 2 Ac 3.62
Tm 0.0000 0.0000 0.5000  8 Y 3.51-3.56, 4 Tm 3.58
Tm 0.3286 0.3426 0.0000  2 Tm 3.47, 8 Y 3.55-3.69, 2 Ac 3.62
Tm 0.6674 0.6653 0.5000  8 Y 3.52-3.54, 4 Tm 3.55-3.58



Record 8
Compound: Rb2CuBr
Source: Alexandria via LeMat-Bulk
Functional: PBE
Structure: relaxed

## Properties
As for the space-group type: Fm-3m. For the magnetic moment, the calculation gives 0.000 μB/cell. The formation energy (no corrections) is -0.5607 eV per atom. For the total energy, the calculation gives -2.487 eV/atom.

abc: 5.9618 5.9618 5.9618
angles: 60.00 60.00 60.00
Closest atoms and distances in Å follow each position.
Element x y z (fractional)
Cu 0.0000 0.0000 0.0000  8 Rb 3.65
Br 0.5000 0.5000 0.5000  8 Rb 3.65
Rb 0.2500 0.2500 0.2500  4 Br 3.65, 4 Cu 3.65
Rb 0.7500 0.7500 0.7500  4 Cu 3.65, 4 Br 3.65